Record 1
A relaxed structure of MnCoN2, computed with GGA-PBEsol.

Its calculated volume is 9.3 Å³ per atom. The calculation puts the energy above the most stable polymorph in this dataset at 0 kJ/mol of formula units. The density of states at the Fermi level is 0.72 states/eV/atom. The formation energy from raw total energies is -0.310 eV per atom. Its spin magnetization is 0.00 μB per formula unit. The value obtained for the total energy is -8.95 eV per atom.

The structure belongs to space group I-42d (No. 122); the cell edges are 4.194, 4.194 and 8.433 Å and the angles 90.00°, 90.00° and 90.00°. The inequivalent atoms are Mn at (0.000, 0.000, 0.000), Co at (0.000, 0.000, 0.500) and N at (0.240, 0.250, 0.125).



Record 2
A relaxed structure of IrOs3, computed with GGA-PBEsol.

Its calculated volume is 14.0 Å³ per atom. The density of states at the Fermi level is 0.84 states/eV/atom. Its spin magnetization is 0.00 μB per formula unit. The calculated formation energy comes out at 6.9 kJ/mol of atoms. The value obtained for the total energy is -11.55 eV per atom.

The structure belongs to space group Pmmn (No. 59, origin choice 2); the cell edges are 5.423, 13.187 and 4.699 Å and the angles 90.00°, 90.00° and 90.00°. The inequivalent atoms are Ir at (0.250, 0.085, 0.167), Ir at (0.250, 0.750, 0.501), Os at (0.000, 0.250, 0.001), Os at (0.001, 0.086, 0.669), Os at (0.250, 0.250, 0.501) and Os at (0.250, 0.585, 0.832).



Record 3
A relaxed structure of Cr3MoRh, computed with GGA-PBEsol.

Its calculated volume is 18.0 Å³ per atom. The density of states at the Fermi level is 1.25 states/eV/atom. Its spin magnetization is 5.77 μB per formula unit. The calculated formation energy comes out at 171.9 kJ/mol of atoms. The value obtained for the total energy is -8.34 eV per atom.

The structure belongs to space group Pm-3m (No. 221); the cell edges are 4.485, 4.485 and 4.485 Å and the angles 90.00°, 90.00° and 90.00°. The inequivalent atoms are Cr at (0.000, 0.000, 0.500), Mo at (0.500, 0.500, 0.500) and Rh at (0.000, 0.000, 0.000).



Record 4
A relaxed structure of Li2HgAu, computed with GGA-PBEsol.

Its calculated volume is 16.3 Å³ per atom. The calculation puts the energy above the most stable polymorph in this dataset at 5 kJ/mol of formula units. The density of states at the Fermi level is 0.30 states/eV/atom. Its spin magnetization is 0.00 μB per formula unit. The calculated formation energy comes out at -43.8 kJ/mol of atoms. The value obtained for the total energy is -2.56 eV per atom.

The structure belongs to space group I-4m2 (No. 119); the cell edges are 3.993, 3.993 and 8.154 Å and the angles 90.00°, 90.00° and 90.00°. The inequivalent atoms are Li at (0.000, 0.000, 0.000), Li at (0.000, 0.500, 0.250), Hg at (0.000, 0.000, 0.500) and Au at (0.000, 0.500, 0.750).